The following is a DFT calculation (GGA-PBE) of a geometry-optimized CeIn3Au3 structure.

abc: 7.524 7.524 7.524
angles: 90.00 90.00 90.00
Each line ends with the local moment (μB).
Fractional coordinates of all 14 atoms:
Au  0.500  0.000  0.250  0.01
Au  0.250  0.500  0.000  0.01
Au  0.500  0.000  0.750  0.01
Au  0.000  0.750  0.500  0.01
Au  0.000  0.250  0.500  0.01
Au  0.750  0.500  0.000  0.01
In  0.750  0.000  0.500  0.01
In  0.000  0.500  0.250  0.01
In  0.000  0.500  0.750  0.01
In  0.250  0.000  0.500  0.01
In  0.500  0.750  0.000  0.01
In  0.500  0.250  0.000  0.01
Ce  0.500  0.500  0.500  1.34
Ce  0.000  0.000  0.000  1.34

Output
The calculation puts the energy of formation at 0.044 eV per atom. The calculated volume is 30.4 Å³ per atom. For the density of states at the Fermi level, the calculation gives 24.94 states/eV/cell. Its energy relative to the lowest polymorph listed for this composition is 402 meV/atom. As for the space group: Pm-3n.